Entry from the Alexandria database: crystalline Na4HfBi3 at its relaxed geometry (PBE).

a b c (Å): 6.229 9.336 9.336
angles (deg): 83.61 70.51 70.51
Element x y z (fractional)
Na (0.414, 0.307, 0.865)
Na (0.586, 0.693, 0.135)
Na (0.721, 0.865, 0.693)
Na (0.086, 0.135, 0.693)
Na (0.279, 0.135, 0.307)
Na (0.914, 0.865, 0.307)
Na (0.779, 0.307, 0.135)
Na (0.221, 0.693, 0.865)
Hf (0.750, 0.500, 0.500)
Hf (0.250, 0.500, 0.500)
Bi (0.750, 0.000, 0.000)
Bi (0.250, 0.000, 0.000)
Bi (0.356, 0.789, 0.500)
Bi (0.644, 0.211, 0.500)
Bi (0.144, 0.500, 0.211)
Bi (0.856, 0.500, 0.789)

Values from the calculation:
Energy (eV/atom): -3.621
Energy of formation from the pure elements (eV/atom): -0.26
DOS at the Fermi energy (states/eV/cell): 6.1
Theoretical density (g cm⁻³): 6.18